No. 1
Material: LaZr3Ru
Method: DFT, PBE
State: optimized geometry

The structure belongs to space group Pm-3m (No. 221); the cell edges are 5.0386, 5.0386 and 5.0386 Å and the angles 90.00°, 90.00° and 90.00°. The distinct sites, in fractional coordinates, are La at (0.0000, 0.0000, 0.0000), Zr at (0.0000, 0.0000, 0.5000) and Ru at (0.5000, 0.5000, 0.5000).

For the excess energy over the best structure of this formula in the dataset, the calculation gives 154.0 kJ/mol of atoms. The uncorrected energy comes out at -31.4 eV per formula unit.



No. 2
Material: Tl2CdGeTe4
Method: DFT, PBE
State: optimized geometry

The structure belongs to space group I-42m (No. 121); the cell edges are 8.6006, 8.6006 and 7.1789 Å and the angles 90.00°, 90.00° and 90.00°. The distinct sites, in fractional coordinates, are Tl at (0.0000, 0.5000, 0.0000), Cd at (0.0000, 0.0000, 0.0000), Ge at (0.0000, 0.0000, 0.5000) and Te at (0.1731, 0.1731, 0.2760).

For the excess energy over the best structure of this formula in the dataset, the calculation gives 0.0 kJ/mol of atoms. The uncorrected energy comes out at -25.0 eV per formula unit. The value obtained for the uncorrected formation energy is -0.27 eV per atom.



No. 3
Material: CsZnTcNi2
Method: DFT, PBE
State: optimized geometry

The structure belongs to space group P4/mmm (No. 123); the cell edges are 4.5770, 4.5770 and 5.6717 Å and the angles 90.00°, 90.00° and 90.00°. The distinct sites, in fractional coordinates, are Cs at (0.0000, 0.0000, 0.0000), Zn at (0.0000, 0.0000, 0.5000), Tc at (0.5000, 0.5000, 0.0000) and Ni at (0.0000, 0.5000, 0.5000).

The uncorrected energy comes out at -15.4 eV per formula unit.



No. 4
Material: HfTi2CuH
Method: DFT, PBE
State: optimized geometry

The structure belongs to space group P4/mmm (No. 123); the cell edges are 4.0348, 4.0348 and 4.2896 Å and the angles 90.00°, 90.00° and 90.00°. The distinct sites, in fractional coordinates, are Hf at (0.0000, 0.0000, 0.0000), Ti at (0.0000, 0.5000, 0.5000), Cu at (0.5000, 0.5000, 0.0000) and H at (0.0000, 0.0000, 0.5000).

For the excess energy over the best structure of this formula in the dataset, the calculation gives 0.0 kJ/mol of atoms. The uncorrected energy comes out at -33.8 eV per formula unit.



No. 5
Material: AcHoTe2
Method: DFT, PBE
State: optimized geometry

The structure belongs to space group R-3m (No. 166, hexagonal axes); the cell edges are 4.4133, 4.4133 and 23.3972 Å and the angles 90.00°, 90.00° and 120.00°. The distinct sites, in fractional coordinates, are Ac at (0.0000, 0.0000, 0.0000), Ho at (0.0000, 0.0000, 0.5000) and Te at (0.0000, 0.0000, 0.2403).

For the excess energy over the best structure of this formula in the dataset, the calculation gives 0.0 kJ/mol of atoms. The uncorrected energy comes out at -20.4 eV per formula unit. The value obtained for the uncorrected formation energy is -1.37 eV per atom.



No. 6
Material: SrInBr2Cl
Method: DFT, PBE
State: optimized geometry

The structure belongs to space group P4/mmm (No. 123); the cell edges are 5.9882, 5.9882 and 5.6042 Å and the angles 90.00°, 90.00° and 90.00°. The distinct sites, in fractional coordinates, are Sr at (0.0000, 0.0000, 0.0000), In at (0.5000, 0.5000, 0.5000), Br at (0.0000, 0.5000, 0.0000) and Cl at (0.0000, 0.0000, 0.5000).

For the excess energy over the best structure of this formula in the dataset, the calculation gives 11.3 kJ/mol of atoms. The uncorrected energy comes out at -17.2 eV per formula unit. The value obtained for the uncorrected formation energy is -1.51 eV per atom.



> Which formula does entry 5 have?

AcHoTe2



> The lowest uncorrected energy belongs to which entry?

HfTi2CuH